[1]
A plane-wave DFT calculation with PBE-GGA was carried out for a relaxed structure of Pm15Dy4Th.

```
Pm15Dy4Th
1.0
5.1344 0.0000 0.0000
0.0000 5.1344 0.0000
0.0000 0.0000 25.6204
Pm Dy Th
15 4 1
direct
0.5000 0.0000 0.2999 Pm
0.0000 0.5000 0.0989 Pm
0.5000 0.5000 0.7983 Pm
0.5000 0.0000 0.5000 Pm
0.0000 0.5000 0.9011 Pm
0.5000 0.5000 0.0000 Pm
0.0000 0.5000 0.2999 Pm
0.5000 0.0000 0.0989 Pm
0.0000 0.5000 0.5000 Pm
0.5000 0.5000 0.4004 Pm
0.0000 0.5000 0.7001 Pm
0.5000 0.0000 0.9011 Pm
0.5000 0.0000 0.7001 Pm
0.5000 0.5000 0.2017 Pm
0.5000 0.5000 0.5996 Pm
0.0000 0.0000 0.5999 Dy
0.0000 0.0000 0.2003 Dy
0.0000 0.0000 0.7997 Dy
0.0000 0.0000 0.4001 Dy
0.0000 0.0000 0.0000 Th
```

Computed properties:
Formation enthalpy at 0 K = 0.025 eV/atom
Symmetry = P4/mmm (123)
E = -4.830 eV/atom

=====

[2]
A plane-wave DFT calculation with PBE-GGA was carried out for a relaxed structure of Pm2DyTh.

```
Pm2DyTh
1.0
-2.7727 1.0749 -2.0891
12.3176 -8.9724 4.3265
-2.3511 -10.9386 7.0258
Th Pm Dy
2 4 2
direct
0.5000 0.0000 0.5000 Th
0.0000 0.5000 0.5000 Th
0.2393 0.7461 0.0030 Pm
0.7607 0.2539 0.9970 Pm
0.4555 0.9555 0.2561 Pm
0.5445 0.0445 0.7439 Pm
0.9489 0.4534 0.2572 Dy
0.0511 0.5466 0.7428 Dy
```

Computed properties:
Formation enthalpy at 0 K = 0.005 eV/atom
Symmetry = P-1 (2)
ΔE to the lowest computed polymorph = 0 meV per atom
E = -5.376 eV/atom

=====

[3]
A plane-wave DFT calculation with PBE-GGA was carried out for a relaxed structure of Pm4Dy2Th3.

```
Pm4Dy2Th3
1.0
3.5821 0.0000 0.0000
-1.7911 3.1022 0.0000
0.0000 0.0000 26.9679
Dy Th Pm
2 3 4
direct
0.6667 0.3333 0.8742 Dy
0.6667 0.3333 0.0878 Dy
0.0000 0.0000 0.9832 Th
0.0000 0.0000 0.3214 Th
0.6667 0.3333 0.6549 Th
0.0000 0.0000 0.7652 Pm
0.6667 0.3333 0.4314 Pm
0.6667 0.3333 0.2135 Pm
0.0000 0.0000 0.5456 Pm
```

Computed properties:
Formation enthalpy at 0 K = 0.087 eV/atom
Symmetry = P3m1 (156)
E = -5.520 eV/atom